A plane-wave DFT calculation with PBE was carried out for crystalline AlIn2Ag at its relaxed geometry.

Cell: 5.6226 5.6226 4.7997 Å, 128.99 128.99 75.70°
Atoms (fractional coordinates):
Al 0.7169 0.2831 0.5000
Ag 0.5302 0.4698 0.0000
In 0.9850 0.0150 0.0000
In 0.2678 0.7322 0.5000

## Properties
As for the volume: 88.9 Å³/cell. The energy of formation from the pure elements comes out at 0.103 eV per atom. The symmetry is No. 5. For the uncorrected energy, the calculation gives -2.9150 eV/atom.